Entry 1:
GdTm2Ag4Ge4 | PBE-GGA | relaxed

a = 8.356 Å, b = 8.356 Å, c = 8.356 Å
α = 150.20°, β = 129.28°, γ = 59.95°
Fractional positions:
Ag1 0.632 0.331 0.302
Ag2 0.971 0.669 0.302
Ag3 0.029 0.331 0.698
Ag4 0.368 0.669 0.698
Gd1 0.000 0.000 0.000
Ge1 0.218 0.218 0.000
Ge2 0.782 0.782 0.000
Ge3 0.682 0.500 0.182
Ge4 0.318 0.500 0.818
Tm1 0.626 0.126 0.500
Tm2 0.374 0.874 0.500

Values from the calculation:
SG: Immm, No. 71



Entry 2:
GdHfAg4 | PBE-GGA | relaxed

a = 3.640 Å, b = 3.640 Å, c = 9.169 Å
α = 90.00°, β = 90.00°, γ = 90.00°
Site moments in Bohr magnetons follow the coordinates.
Fractional positions:
Ag1 0.500 0.500 0.182  0.00
Ag2 0.000 0.000 0.341  0.01
Ag3 0.000 0.000 0.659  0.01
Ag4 0.500 0.500 0.818  0.00
Gd1 0.000 0.000 0.000  -0.01
Hf1 0.500 0.500 0.500  0.11

Values from the calculation:
Calculated formation energy (eV per atom): -0.15
SG: P4/mmm, No. 123



Entry 3:
GdHfAg6 | PBE-GGA | relaxed

a = 4.931 Å, b = 6.153 Å, c = 5.074 Å
α = 90.00°, β = 90.00°, γ = 90.00°
Fractional positions:
Ag1 0.500 0.500 0.166
Ag2 0.000 0.260 0.341
Ag3 0.000 0.740 0.341
Ag4 0.500 0.267 0.666
Ag5 0.500 0.733 0.666
Ag6 0.000 0.000 0.814
Gd1 0.500 0.000 0.160
Hf1 0.000 0.500 0.847

Values from the calculation:
Calculated formation energy (eV per atom): -0.13
SG: Pmm2, No. 25



Entry 4:
Gd2AgHg | PBE-GGA | relaxed

a = 5.233 Å, b = 5.233 Å, c = 3.716 Å
α = 90.00°, β = 90.00°, γ = 90.00°
Fractional positions:
Ag1 0.000 0.000 0.500
Gd1 0.500 0.000 0.000
Gd2 0.000 0.500 0.000
Hg1 0.500 0.500 0.500

Values from the calculation:
Calculated formation energy (eV per atom): -0.40
SG: P4/mmm, No. 123



Result set for VASP energy: -4.46; -4.47; -4.07; -3.51 eV/atom, one per record in the order listed.